Mg17Tl12: single point on PBEsol structure, SCAN.

Structure (CIF):
```
data_Mg17Tl12
_space_group_name_H-M_alt 'I -4 3 m'
_space_group_IT_number 217
_space_group_name_Hall 'I -4 2 3'
_cell_length_a 11.194
_cell_length_b 11.194
_cell_length_c 11.194
_cell_angle_alpha 90.00
_cell_angle_beta 90.00
_cell_angle_gamma 90.00
loop_
_atom_site_label
_atom_site_type_symbol
_atom_site_fract_x
_atom_site_fract_y
_atom_site_fract_z
Mg1 Mg 0.000 0.000 0.000
Mg2 Mg 0.050 0.359 0.641
Mg3 Mg 0.166 0.166 0.166
Tl1 Tl 0.096 0.096 0.705
```

## Properties
Total energy: -32.897 eV/atom

MgTl2: single point on PBEsol structure, SCAN.

Structure (CIF):
```
data_MgTl2
_space_group_name_H-M_alt 'I 4/m m m'
_space_group_IT_number 139
_space_group_name_Hall '-I 4 2'
_cell_length_a 3.567
_cell_length_b 3.567
_cell_length_c 12.056
_cell_angle_alpha 90.00
_cell_angle_beta 90.00
_cell_angle_gamma 90.00
loop_
_atom_site_label
_atom_site_type_symbol
_atom_site_fract_x
_atom_site_fract_y
_atom_site_fract_z
Mg1 Mg 0.000 0.000 0.000
Tl1 Tl 0.000 0.000 0.342
```

## Properties
Total energy: -49.935 eV/atom

MgTl2: single point on PBEsol structure, SCAN.

Structure (CIF):
```
data_MgTl2
_space_group_name_H-M_alt 'I 41/a m d'
_space_group_IT_number 141
_cell_length_a 3.378
_cell_length_b 3.378
_cell_length_c 27.335
_cell_angle_alpha 90.00
_cell_angle_beta 90.00
_cell_angle_gamma 90.00
loop_
_space_group_symop_operation_xyz
'x,y,z'
'-x,-y,-z'
'-y+1/4,x+3/4,z+1/4'
'y+1/4,-x+3/4,-z+1/4'
'-x+1/2,-y,z+1/2'
'x+1/2,y,-z+1/2'
'y+1/4,-x+1/4,z+3/4'
'-y+1/4,x+1/4,-z+3/4'
'x,-y,-z'
'-x,y,z'
'-y+1/4,-x+1/4,-z+3/4'
'y+1/4,x+1/4,z+3/4'
'-x+1/2,y,-z+1/2'
'x+1/2,-y,z+1/2'
'y+1/4,x+3/4,-z+1/4'
'-y+1/4,-x+3/4,z+1/4'
'x+1/2,y+1/2,z+1/2'
'-x+1/2,-y+1/2,-z+1/2'
'-y+3/4,x+1/4,z+3/4'
'y+3/4,-x+1/4,-z+3/4'
'-x,-y+1/2,z'
'x,y+1/2,-z'
'y+3/4,-x+3/4,z+1/4'
'-y+3/4,x+3/4,-z+1/4'
'x+1/2,-y+1/2,-z+1/2'
'-x+1/2,y+1/2,z+1/2'
'-y+3/4,-x+3/4,-z+1/4'
'y+3/4,x+3/4,z+1/4'
'-x,y+1/2,-z'
'x,-y+1/2,z'
'y+3/4,x+1/4,-z+3/4'
'-y+3/4,-x+1/4,z+3/4'
loop_
_atom_site_label
_atom_site_type_symbol
_atom_site_fract_x
_atom_site_fract_y
_atom_site_fract_z
Mg1 Mg 0.000 0.250 0.375
Tl1 Tl 0.000 0.250 0.799
```

## Properties
Total energy: -49.924 eV/atom

MgTl2: single point on PBEsol structure, SCAN.

Structure (CIF):
```
data_MgTl2
_space_group_name_H-M_alt 'P -3 m 1'
_space_group_IT_number 164
_space_group_name_Hall '-P 3 2"'
_cell_length_a 3.4497
_cell_length_b 3.4497
_cell_length_c 7.5109
_cell_angle_alpha 90.00
_cell_angle_beta 90.00
_cell_angle_gamma 120.00
loop_
_atom_site_label
_atom_site_type_symbol
_atom_site_fract_x
_atom_site_fract_y
_atom_site_fract_z
Mg1 Mg 0.0000 0.0000 0.0000
Tl1 Tl 0.3333 0.6667 0.3241
```

## Properties
Total energy: -49.931 eV/atom

MgTl2: single point on PBEsol structure, SCAN.

Structure (CIF):
```
data_MgTl2
_space_group_name_H-M_alt 'I 4/m c m'
_space_group_IT_number 140
_space_group_name_Hall '-I 4 2c'
_cell_length_a 7.153
_cell_length_b 7.153
_cell_length_c 6.051
_cell_angle_alpha 90.00
_cell_angle_beta 90.00
_cell_angle_gamma 90.00
loop_
_atom_site_label
_atom_site_type_symbol
_atom_site_fract_x
_atom_site_fract_y
_atom_site_fract_z
Mg1 Mg 0.000 0.000 0.250
Tl1 Tl 0.158 0.342 0.000
```

## Properties
Total energy: -49.955 eV/atom

Mg12Tl17: single point on PBEsol structure, SCAN.

Structure (CIF):
```
data_Mg12Tl17
_space_group_name_H-M_alt 'I -4 3 m'
_space_group_IT_number 217
_space_group_name_Hall 'I -4 2 3'
_cell_length_a 11.380
_cell_length_b 11.380
_cell_length_c 11.380
_cell_angle_alpha 90.00
_cell_angle_beta 90.00
_cell_angle_gamma 90.00
loop_
_atom_site_label
_atom_site_type_symbol
_atom_site_fract_x
_atom_site_fract_y
_atom_site_fract_z
Mg1 Mg 0.097 0.097 0.710
Tl1 Tl 0.000 0.000 0.000
Tl2 Tl 0.055 0.362 0.638
Tl3 Tl 0.163 0.163 0.163
```

## Properties
Total energy: -44.487 eV/atom

Mg4Tl3: single point on PBEsol structure, SCAN.

Structure (CIF):
```
data_Mg4Tl3
_space_group_name_H-M_alt 'P 6/m m m'
_space_group_IT_number 191
_space_group_name_Hall '-P 6 2'
_cell_length_a 6.1382
_cell_length_b 6.1382
_cell_length_c 5.5655
_cell_angle_alpha 90.00
_cell_angle_beta 90.00
_cell_angle_gamma 120.00
loop_
_atom_site_label
_atom_site_type_symbol
_atom_site_fract_x
_atom_site_fract_y
_atom_site_fract_z
Mg1 Mg 0.0000 0.0000 0.2459
Mg2 Mg 0.3333 0.6667 0.0000
Tl1 Tl 0.0000 0.5000 0.5000
```

## Properties
Total energy: -33.738 eV/atom

MgTl2: single point on PBEsol structure, SCAN.

Structure (CIF):
```
data_MgTl2
_space_group_name_H-M_alt 'C 1 m 1'
_space_group_IT_number 8
_cell_length_a 11.873
_cell_length_b 3.495
_cell_length_c 7.663
_cell_angle_alpha 90.00
_cell_angle_beta 103.59
_cell_angle_gamma 90.00
loop_
_space_group_symop_operation_xyz
'x,y,z'
'x,-y,z'
'x+1/2,y+1/2,z'
'x+1/2,-y+1/2,z'
loop_
_atom_site_label
_atom_site_type_symbol
_atom_site_fract_x
_atom_site_fract_y
_atom_site_fract_z
Mg1 Mg 0.000 0.000 0.000
Mg2 Mg 0.184 0.500 0.343
Tl1 Tl 0.063 0.000 0.595
Tl2 Tl 0.210 0.500 0.949
Tl3 Tl 0.346 0.000 0.682
Tl4 Tl 0.397 0.000 0.262
```

## Properties
Total energy: -49.932 eV/atom

MgTl2: single point on PBEsol structure, SCAN.

Structure (CIF):
```
data_MgTl2
_space_group_name_H-M_alt 'P 4/m m m'
_space_group_IT_number 123
_space_group_name_Hall '-P 4 2'
_cell_length_a 5.077
_cell_length_b 5.077
_cell_length_c 3.282
_cell_angle_alpha 90.00
_cell_angle_beta 90.00
_cell_angle_gamma 90.00
loop_
_atom_site_label
_atom_site_type_symbol
_atom_site_fract_x
_atom_site_fract_y
_atom_site_fract_z
Mg1 Mg 0.000 0.000 0.000
Tl1 Tl 0.000 0.500 0.500
```

## Properties
Total energy: -49.911 eV/atom

Mg3Tl5: single point on PBEsol structure, SCAN.

Structure (CIF):
```
data_Mg3Tl5
_space_group_name_H-M_alt 'P 63/m c m'
_space_group_IT_number 193
_space_group_name_Hall '-P 6c 2'
_cell_length_a 8.7169
_cell_length_b 8.7169
_cell_length_c 6.2250
_cell_angle_alpha 90.00
_cell_angle_beta 90.00
_cell_angle_gamma 120.00
loop_
_atom_site_label
_atom_site_type_symbol
_atom_site_fract_x
_atom_site_fract_y
_atom_site_fract_z
Mg1 Mg 0.0000 0.4046 0.2500
Tl1 Tl 0.0000 0.2296 0.7500
Tl2 Tl 0.3333 0.6667 0.0000
```

## Properties
Total energy: -47.135 eV/atom

MgTl2: single point on PBEsol structure, SCAN.

Structure (CIF):
```
data_MgTl2
_space_group_name_H-M_alt 'P n m a'
_space_group_IT_number 62
_cell_length_a 6.539
_cell_length_b 4.688
_cell_length_c 9.962
_cell_angle_alpha 90.00
_cell_angle_beta 90.00
_cell_angle_gamma 90.00
loop_
_space_group_symop_operation_xyz
'x,y,z'
'-x,-y,-z'
'-x+1/2,-y,z+1/2'
'x+1/2,y,-z+1/2'
'x+1/2,-y+1/2,-z+1/2'
'-x+1/2,y+1/2,z+1/2'
'-x,y+1/2,-z'
'x,-y+1/2,z'
loop_
_atom_site_label
_atom_site_type_symbol
_atom_site_fract_x
_atom_site_fract_y
_atom_site_fract_z
Mg1 Mg 0.149 0.250 0.096
Tl1 Tl 0.090 0.250 0.765
Tl2 Tl 0.148 0.250 0.429
```

## Properties
Total energy: -49.925 eV/atom

MgTl2: single point on PBEsol structure, SCAN.

Structure (CIF):
```
data_MgTl2
_space_group_name_H-M_alt 'P 63/m m c'
_space_group_IT_number 194
_space_group_name_Hall '-P 6c 2c'
_cell_length_a 5.3589
_cell_length_b 5.3589
_cell_length_c 6.2640
_cell_angle_alpha 90.00
_cell_angle_beta 90.00
_cell_angle_gamma 120.00
loop_
_atom_site_label
_atom_site_type_symbol
_atom_site_fract_x
_atom_site_fract_y
_atom_site_fract_z
Mg1 Mg 0.3333 0.6667 0.2500
Tl1 Tl 0.0000 0.0000 0.0000
Tl2 Tl 0.3333 0.6667 0.7500
```

## Properties
Total energy: -49.880 eV/atom